# 1
## Cs2SiBiI6 (PBE-GGA)

Data for crystalline Cs2SiBiI6 at its relaxed geometry.

a = 8.6051 Å, b = 8.6051 Å, c = 8.6145 Å
α = 60.04°, β = 60.04°, γ = 90.00°
Closest atoms and distances in Å follow each position.
Sites, in units of the cell vectors:
1 Cs 0.2500 0.7500 0.5000  12 I 4.30-4.31
2 Cs 0.7500 0.2500 0.5000  12 I 4.30-4.31
3 I 0.2599 0.2599 0.0000  1 Si 2.92, 1 Bi 3.16
4 I 0.7403 0.7403 0.5194  1 Si 2.93, 1 Bi 3.17
5 I 0.7401 0.7401 0.0000  1 Si 2.92, 1 Bi 3.16
6 I 0.2599 0.7401 0.0000  1 Si 2.92, 1 Bi 3.16
7 I 0.7401 0.2599 0.0000  1 Si 2.92, 1 Bi 3.16
8 I 0.2597 0.2597 0.4806  1 Si 2.93, 1 Bi 3.17
9 Bi 0.0000 0.0000 0.0000  6 I 3.16-3.17
10 Si 0.5000 0.5000 0.0000  6 I 2.92-2.93

Results
Formation energy from raw total energies in meV/atom: -730
N(E_F) in states/eV/atom: 0.467


# 2
## CsSr2BiI8 (PBE-GGA)

Data for crystalline CsSr2BiI8 at its relaxed geometry.

a = 7.8103 Å, b = 7.5675 Å, c = 10.3305 Å
α = 89.91°, β = 89.95°, γ = 89.81°
Closest atoms and distances in Å follow each position.
Sites, in units of the cell vectors:
1 I 0.8482 0.2497 0.2083  1 Bi 3.10, 1 Sr 3.34
2 I 0.6022 0.7401 0.4997  2 Sr 3.27
3 I 0.1518 0.7503 0.7917  1 Bi 3.10, 1 Sr 3.34
4 I 0.3978 0.2599 0.5003  2 Sr 3.27
5 I 0.3365 0.2413 0.0003  1 Bi 3.21, 2 Sr 3.47-3.48
6 I 0.1506 0.7493 0.2086  1 Bi 3.10, 1 Sr 3.34
7 I 0.8494 0.2507 0.7914  1 Bi 3.10, 1 Sr 3.34
8 I 0.6635 0.7587 0.9997  1 Bi 3.21, 2 Sr 3.47-3.48
9 Cs 0.0000 0.0000 0.5000  6 I 3.68-3.75
10 Sr 0.5001 0.4998 0.7514  6 I 3.27-3.48
11 Sr 0.4999 0.5002 0.2486  6 I 3.27-3.48
12 Bi 0.0000 0.0000 0.0000  6 I 3.10-3.21

Results
Formation energy from raw total energies in meV/atom: -1202
N(E_F) in states/eV/atom: 0.000